## 1
TbPr5Nd5 | GGA-PBE | optimized geometry

Output
density of states at the Fermi level	17.2	states/eV/cell
space group	P-1
V	398.7	Å³/cell

a = 7.104 Å, b = 8.786 Å, c = 9.848 Å
α = 44.35°, β = 88.59°, γ = 104.01°
Element x y z (fractional)
Pr: 0.356 0.505 0.767
Tb: 0.000 0.000 0.000
Pr: 0.000 0.500 0.500
Pr: 0.309 0.053 0.306
Nd: 0.146 0.499 0.145
Nd: 0.500 0.000 0.000
Nd: 0.772 0.923 0.353
Nd: 0.854 0.501 0.855
Nd: 0.228 0.077 0.647
Pr: 0.644 0.495 0.233
Pr: 0.691 0.947 0.694

=====

## 2
TbPr5Nd5 | GGA-PBE | optimized geometry

Output
density of states at the Fermi level	18.3	states/eV/cell
space group	C2/m
V	397.1	Å³/cell

a = 6.198 Å, b = 10.128 Å, c = 7.111 Å
α = 109.85°, β = 90.00°, γ = 107.82°
Element x y z (fractional)
Nd: 0.626 0.251 0.631
Nd: 0.000 0.000 0.500
Pr: 0.500 0.000 0.000
Nd: 0.330 0.660 0.825
Pr: 0.826 0.652 0.583
Pr: 0.826 0.652 0.070
Pr: 0.174 0.348 0.930
Tb: 0.000 0.000 0.000
Nd: 0.374 0.749 0.369
Nd: 0.670 0.340 0.175
Pr: 0.174 0.348 0.417

=====

Most stable to least stable, the ends of the list are 1 and 2.

=====

## 1
Tb2Pr6Nd | GGA-PBE | optimized geometry

Output
density of states at the Fermi level	30.2	states/eV/cell
space group	P4_2/mnm
V	741.1	Å³/cell

a = 8.349 Å, b = 8.349 Å, c = 10.632 Å
α = 90.00°, β = 90.00°, γ = 90.00°
Element x y z (fractional)
Tb: 0.500 0.500 0.834
Pr: 0.761 0.239 0.834
Pr: 0.739 0.739 0.666
Pr: 0.239 0.761 0.834
Pr: 0.262 0.262 0.000
Pr: 0.261 0.261 0.666
Pr: 0.238 0.762 0.500
Nd: 0.000 0.000 0.000
Tb: 0.000 0.000 0.666
Pr: 0.261 0.261 0.334
Pr: 0.239 0.761 0.166
Pr: 0.738 0.738 0.000
Tb: 0.000 0.000 0.334
Pr: 0.739 0.739 0.334
Pr: 0.762 0.238 0.500
Tb: 0.500 0.500 0.166
Nd: 0.500 0.500 0.500
Pr: 0.761 0.239 0.166

=====

## 2
Tb2Pr6Nd | GGA-PBE | optimized geometry

Output
density of states at the Fermi level	16.8	states/eV/cell
space group	C2/m
V	322.7	Å³/cell

a = 3.519 Å, b = 6.226 Å, c = 17.996 Å
α = 117.64°, β = 84.39°, γ = 73.58°
Element x y z (fractional)
Nd: 0.500 0.500 0.500
Pr: 0.563 0.811 0.062
Pr: 0.437 0.189 0.938
Pr: 0.773 0.186 0.269
Tb: 0.833 0.500 0.834
Tb: 0.167 0.500 0.166
Pr: 0.102 0.191 0.605
Pr: 0.227 0.814 0.731
Pr: 0.898 0.809 0.395

=====

Most stable to least stable, the ends of the list are 2 and 1.

=====

## 1
Tb3PrNd | GGA-PBE | optimized geometry

Output
density of states at the Fermi level	15.5	states/eV/cell
space group	P2_1/m
V	365.5	Å³/cell

a = 3.653 Å, b = 8.717 Å, c = 11.740 Å
α = 90.00°, β = 90.00°, γ = 102.11°
Element x y z (fractional)
Pr: 0.689 0.878 0.750
Tb: 0.350 0.202 0.750
Tb: 0.157 0.813 0.498
Tb: 0.157 0.813 0.002
Pr: 0.311 0.122 0.250
Tb: 0.650 0.798 0.250
Tb: 0.843 0.187 0.502
Nd: 0.013 0.531 0.750
Nd: 0.987 0.469 0.250
Tb: 0.843 0.187 0.998

=====

## 2
Tb3PrNd | GGA-PBE | optimized geometry

Output
density of states at the Fermi level	13.6	states/eV/cell
space group	P-1
V	336.9	Å³/cell

a = 6.565 Å, b = 11.749 Å, c = 6.577 Å
α = 124.39°, β = 119.80°, γ = 89.26°
Element x y z (fractional)
Tb: 0.310 0.456 0.609
Nd: 0.711 0.191 0.249
Pr: 0.000 0.500 0.000
Nd: 0.289 0.809 0.751
Tb: 0.133 0.187 0.830
Tb: 0.450 0.812 0.329
Tb: 0.867 0.813 0.170
Tb: 0.550 0.188 0.671
Pr: 0.000 0.000 0.000
Tb: 0.690 0.544 0.391

=====

Most stable to least stable, the ends of the list are 2 and 1.

=====

## 1
Tb4Pr5Nd | GGA-PBE | optimized geometry

Output
density of states at the Fermi level	13.2	states/eV/cell
space group	C2/m
V	343.0	Å³/cell

a = 3.658 Å, b = 10.320 Å, c = 9.638 Å
α = 105.95°, β = 100.90°, γ = 89.98°
Element x y z (fractional)
Tb: 0.101 0.297 0.202
Tb: 0.300 0.900 0.600
Pr: 0.700 0.600 0.401
Pr: 0.500 0.500 0.000
Pr: 0.300 0.400 0.599
Nd: 0.500 0.000 0.000
Tb: 0.899 0.703 0.798
Pr: 0.899 0.196 0.799
Pr: 0.101 0.804 0.201
Tb: 0.700 0.100 0.400

=====

## 2
Tb4Pr5Nd | GGA-PBE | optimized geometry

Output
density of states at the Fermi level	15.9	states/eV/cell
space group	C2/m
V	355.0	Å³/cell

a = 3.624 Å, b = 10.681 Å, c = 9.401 Å
α = 83.92°, β = 101.11°, γ = 90.00°
Element x y z (fractional)
Pr: 0.142 0.769 0.284
Pr: 0.810 0.599 0.620
Nd: 0.500 0.000 0.000
Pr: 0.500 0.500 0.000
Tb: 0.317 0.912 0.634
Tb: 0.954 0.761 0.908
Tb: 0.683 0.088 0.366
Tb: 0.046 0.239 0.092
Pr: 0.858 0.231 0.716
Pr: 0.190 0.401 0.380

=====

Most stable to least stable, the ends of the list are 1 and 2.

=====

## 1
TbPr4Nd2 | GGA-PBE | optimized geometry

Output
density of states at the Fermi level	22.2	states/eV/cell
space group	Fdd2
V	503.3	Å³/cell

a = 6.856 Å, b = 6.856 Å, c = 11.707 Å
α = 104.78°, β = 104.78°, γ = 97.40°
Element x y z (fractional)
Pr: 0.130 0.294 0.822
Nd: 0.775 0.126 0.987
Pr: 0.796 0.783 0.719
Pr: 0.544 0.880 0.322
Pr: 0.558 0.222 0.678
Tb: 0.617 0.617 0.000
Pr: 0.327 0.813 0.781
Nd: 0.139 0.788 0.013
Pr: 0.033 0.546 0.219
Pr: 0.063 0.077 0.281
Pr: 0.472 0.308 0.178
Tb: 0.867 0.367 0.500
Nd: 0.038 0.889 0.513
Nd: 0.376 0.525 0.487

=====

## 2
TbPr4Nd2 | GGA-PBE | optimized geometry

Output
density of states at the Fermi level	9.4	states/eV/cell
space group	R-3m
V	247.2	Å³/cell

a = 3.687 Å, b = 3.687 Å, c = 21.101 Å
α = 84.99°, β = 84.99°, γ = 60.00°
Element x y z (fractional)
Nd: 0.428 0.428 0.716
Pr: 0.713 0.713 0.860
Pr: 0.287 0.287 0.140
Pr: 0.143 0.143 0.572
Pr: 0.857 0.857 0.428
Nd: 0.572 0.572 0.284
Tb: 0.000 0.000 0.000

=====

Most stable to least stable, the ends of the list are 2 and 1.

=====

## 1
TbPr12Nd6 | GGA-PBE | optimized geometry

Output
density of states at the Fermi level	29.8	states/eV/cell
space group	R-3
V	688.2	Å³/cell

a = 8.830 Å, b = 8.830 Å, c = 8.830 Å
α = 89.21°, β = 89.21°, γ = 89.21°
Element x y z (fractional)
Pr: 0.566 0.219 0.465
Nd: 0.738 0.904 0.300
Nd: 0.904 0.300 0.738
Nd: 0.700 0.262 0.096
Tb: 0.000 0.000 0.000
Nd: 0.300 0.738 0.904
Nd: 0.096 0.700 0.262
Pr: 0.018 0.191 0.361
Pr: 0.465 0.566 0.219
Pr: 0.809 0.639 0.982
Pr: 0.361 0.018 0.191
Pr: 0.434 0.781 0.535
Pr: 0.639 0.982 0.809
Pr: 0.535 0.434 0.781
Pr: 0.219 0.465 0.566
Nd: 0.262 0.096 0.700
Pr: 0.982 0.809 0.639
Pr: 0.781 0.535 0.434
Pr: 0.191 0.361 0.018

=====

## 2
TbPr12Nd6 | GGA-PBE | optimized geometry

Output
density of states at the Fermi level	32.1	states/eV/cell
space group	R-3m
V	695.6	Å³/cell

a = 10.041 Å, b = 10.041 Å, c = 10.041 Å
α = 112.03°, β = 112.03°, γ = 112.03°
Element x y z (fractional)
Nd: 0.729 0.729 0.479
Nd: 0.271 0.271 0.521
Pr: 0.120 0.880 0.500
Pr: 0.728 0.728 0.088
Pr: 0.088 0.728 0.728
Pr: 0.880 0.120 0.500
Nd: 0.479 0.729 0.729
Nd: 0.729 0.479 0.729
Pr: 0.500 0.120 0.880
Pr: 0.272 0.272 0.912
Pr: 0.912 0.272 0.272
Nd: 0.271 0.521 0.271
Tb: 0.000 0.000 0.000
Pr: 0.728 0.088 0.728
Nd: 0.521 0.271 0.271
Pr: 0.500 0.880 0.120
Pr: 0.120 0.500 0.880
Pr: 0.880 0.500 0.120
Pr: 0.272 0.912 0.272

=====

Most stable to least stable, the ends of the list are 1 and 2.

=====

## 1
Tb12Pr2Nd5 | GGA-PBE | optimized geometry

Output
density of states at the Fermi level	27.2	states/eV/cell
space group	C2/m
V	641.4	Å³/cell

a = 7.196 Å, b = 14.939 Å, c = 16.391 Å
α = 154.12°, β = 90.00°, γ = 103.94°
Element x y z (fractional)
Tb: 0.041 0.081 0.887
Pr: 0.750 0.000 0.000
Tb: 0.459 0.919 0.118
Nd: 0.502 0.005 0.600
Tb: 0.985 0.446 0.053
Nd: 0.000 0.000 0.500
Pr: 0.250 0.000 0.000
Nd: 0.751 0.502 0.502
Tb: 0.444 0.397 0.610
Nd: 0.498 0.995 0.400
Tb: 0.461 0.446 0.053
Tb: 0.541 0.081 0.882
Tb: 0.047 0.603 0.390
Nd: 0.249 0.498 0.498
Tb: 0.953 0.397 0.610
Tb: 0.539 0.554 0.947
Tb: 0.959 0.919 0.113
Tb: 0.015 0.554 0.947
Tb: 0.556 0.603 0.390

=====

## 2
Tb12Pr2Nd5 | GGA-PBE | optimized geometry

Output
density of states at the Fermi level	27.0	states/eV/cell
space group	C2/m
V	645.8	Å³/cell

a = 9.363 Å, b = 12.485 Å, c = 8.744 Å
α = 132.72°, β = 90.00°, γ = 112.02°
Element x y z (fractional)
Tb: 0.819 0.258 0.594
Nd: 0.770 0.540 0.112
Tb: 0.922 0.845 0.722
Tb: 0.561 0.742 0.406
Nd: 0.706 0.413 0.393
Tb: 0.558 0.116 0.778
Tb: 0.328 0.298 0.057
Tb: 0.439 0.258 0.594
Nd: 0.294 0.587 0.607
Tb: 0.078 0.155 0.278
Tb: 0.971 0.298 0.057
Pr: 0.324 0.000 0.000
Pr: 0.676 0.000 0.000
Tb: 0.029 0.702 0.943
Tb: 0.672 0.702 0.943
Nd: 0.230 0.460 0.888
Tb: 0.181 0.742 0.406
Nd: 0.000 0.000 0.500
Tb: 0.442 0.884 0.222

=====

Most stable to least stable, the ends of the list are 1 and 2.

=====

## 1
Tb2Pr5Nd2 | GGA-PBE | optimized geometry

Output
density of states at the Fermi level	14.4	states/eV/cell
space group	C2/m
V	315.8	Å³/cell

a = 6.374 Å, b = 6.375 Å, c = 14.242 Å
α = 58.38°, β = 132.29°, γ = 131.88°
Element x y z (fractional)
Pr: 0.777 0.667 0.445
Pr: 0.555 0.333 0.889
Tb: 0.110 0.667 0.777
Pr: 0.223 0.333 0.555
Tb: 0.890 0.333 0.223
Nd: 0.669 0.999 0.668
Pr: 0.445 0.667 0.111
Nd: 0.331 0.001 0.332
Pr: 0.000 0.000 0.000

=====

## 2
Tb2Pr5Nd2 | GGA-PBE | optimized geometry

Output
density of states at the Fermi level	27.1	states/eV/cell
space group	Ima2
V	635.8	Å³/cell

a = 12.054 Å, b = 6.961 Å, c = 10.288 Å
α = 109.77°, β = 125.86°, γ = 90.00°
Element x y z (fractional)
Pr: 0.008 0.659 0.500
Pr: 0.377 0.021 0.286
Pr: 0.194 0.658 0.894
Pr: 0.409 0.521 0.286
Pr: 0.992 0.159 0.500
Nd: 0.378 0.931 0.748
Tb: 0.000 0.035 0.000
Pr: 0.801 0.265 0.106
Tb: 0.742 0.848 0.500
Pr: 0.199 0.158 0.894
Pr: 0.806 0.765 0.106
Nd: 0.870 0.431 0.748
Nd: 0.130 0.683 0.252
Nd: 0.622 0.183 0.252
Pr: 0.591 0.235 0.714
Pr: 0.623 0.735 0.714
Tb: 0.500 0.535 0.000
Tb: 0.258 0.348 0.500

=====

Most stable to least stable, the ends of the list are 1 and 2.